[1]
A plane-wave DFT calculation with PBE was carried out for Sr2Pd15Pb2 after structural relaxation. Values from VASP.

```
&SYSTEM
  ibrav = 0, nat = 19, ntyp = 3
/
ATOMIC_SPECIES
Sr 87.62 Sr.upf
Pd 106.42 Pd.upf
Pb 207.20 Pb.upf
CELL_PARAMETERS angstrom
4.719 2.725 4.633
-4.719 2.725 4.633
0.000 -5.449 4.633
ATOMIC_POSITIONS crystal
Sr 0.145 0.145 0.145
Sr 0.855 0.855 0.855
Pd 0.000 0.500 0.500
Pd 0.153 0.153 0.659
Pd 0.153 0.659 0.153
Pd 0.195 0.500 0.805
Pd 0.195 0.805 0.500
Pd 0.341 0.847 0.847
Pd 0.500 0.000 0.500
Pd 0.500 0.195 0.805
Pd 0.500 0.500 0.000
Pd 0.500 0.805 0.195
Pd 0.659 0.153 0.153
Pd 0.805 0.195 0.500
Pd 0.805 0.500 0.195
Pd 0.847 0.341 0.847
Pd 0.847 0.847 0.341
Pb 0.392 0.392 0.392
Pb 0.608 0.608 0.608
```

ΔE_f ... -0.267 eV/atom
Space group ... No. 166



[2]
A plane-wave DFT calculation with PBE was carried out for Sr4Pd3Pb after structural relaxation. Values from VASP.

```
&SYSTEM
  ibrav = 0, nat = 8, ntyp = 3
/
ATOMIC_SPECIES
Sr 87.62 Sr.upf
Pd 106.42 Pd.upf
Pb 207.20 Pb.upf
CELL_PARAMETERS angstrom
4.379 0.000 0.000
0.000 4.792 0.000
0.000 0.000 11.558
ATOMIC_POSITIONS crystal
Sr 0.000 0.000 0.000
Sr 0.000 0.500 0.258
Sr 0.500 0.000 0.467
Sr 0.500 0.500 0.776
Pd 0.000 0.500 0.560
Pd 0.500 0.000 0.196
Pd 0.500 0.500 0.058
Pb 0.000 0.000 0.688
```

ΔE_f ... -0.545 eV/atom
Space group ... No. 25



[3]
A plane-wave DFT calculation with PBE was carried out for SrPd3Pb2 after structural relaxation. Values from VASP.

```
&SYSTEM
  ibrav = 0, nat = 12, ntyp = 3
/
ATOMIC_SPECIES
Sr 87.62 Sr.upf
Pd 106.42 Pd.upf
Pb 207.20 Pb.upf
CELL_PARAMETERS angstrom
8.509 -2.426 0.000
8.509 2.426 0.000
-3.292 0.000 7.182
ATOMIC_POSITIONS crystal
Sr 0.154 0.154 0.196
Sr 0.846 0.846 0.804
Pd 0.013 0.013 0.342
Pd 0.301 0.301 0.056
Pd 0.399 0.399 0.460
Pd 0.601 0.601 0.540
Pd 0.699 0.699 0.944
Pd 0.987 0.987 0.658
Pb 0.168 0.168 0.701
Pb 0.478 0.478 0.174
Pb 0.522 0.522 0.826
Pb 0.832 0.832 0.299
```

ΔE_f ... -0.396 eV/atom
Space group ... No. 12



[4]
A plane-wave DFT calculation with PBE was carried out for Sr3Pd8Pb4 after structural relaxation. Values from VASP.

```
&SYSTEM
  ibrav = 0, nat = 30, ntyp = 3
/
ATOMIC_SPECIES
Sr 87.62 Sr.upf
Pd 106.42 Pd.upf
Pb 207.20 Pb.upf
CELL_PARAMETERS angstrom
0.000 6.917 6.917
6.917 0.000 6.917
6.917 6.917 0.000
ATOMIC_POSITIONS crystal
Sr 0.233 0.233 0.767
Sr 0.233 0.767 0.233
Sr 0.233 0.767 0.767
Sr 0.767 0.233 0.233
Sr 0.767 0.233 0.767
Sr 0.767 0.767 0.233
Pd 0.128 0.624 0.624
Pd 0.173 0.173 0.173
Pd 0.173 0.173 0.481
Pd 0.173 0.481 0.173
Pd 0.376 0.376 0.376
Pd 0.376 0.376 0.872
Pd 0.376 0.872 0.376
Pd 0.481 0.173 0.173
Pd 0.519 0.827 0.827
Pd 0.624 0.128 0.624
Pd 0.624 0.624 0.128
Pd 0.624 0.624 0.624
Pd 0.827 0.519 0.827
Pd 0.827 0.827 0.519
Pd 0.827 0.827 0.827
Pd 0.872 0.376 0.376
Pb 0.000 0.000 0.000
Pb 0.000 0.000 0.500
Pb 0.000 0.500 0.000
Pb 0.000 0.500 0.500
Pb 0.500 0.000 0.000
Pb 0.500 0.000 0.500
Pb 0.500 0.500 0.000
Pb 0.500 0.500 0.500
```

ΔE_f ... -0.434 eV/atom
Space group ... No. 225



[5]
A plane-wave DFT calculation with PBE was carried out for Sr2PdPb2 after structural relaxation. Values from VASP.

```
&SYSTEM
  ibrav = 0, nat = 5, ntyp = 3
/
ATOMIC_SPECIES
Sr 87.62 Sr.upf
Pd 106.42 Pd.upf
Pb 207.20 Pb.upf
CELL_PARAMETERS angstrom
4.351 0.000 0.000
0.000 2.353 7.614
0.000 -2.353 7.614
ATOMIC_POSITIONS crystal
Sr 0.000 0.000 0.000
Sr 0.000 0.253 0.253
Pd 0.500 0.428 0.428
Pb 0.500 0.618 0.618
Pb 0.500 0.829 0.829
```

ΔE_f ... -0.518 eV/atom
Space group ... No. 38



[6]
A plane-wave DFT calculation with PBE was carried out for SrPd4Pb2 after structural relaxation. Values from VASP.

```
&SYSTEM
  ibrav = 0, nat = 14, ntyp = 3
/
ATOMIC_SPECIES
Sr 87.62 Sr.upf
Pd 106.42 Pd.upf
Pb 207.20 Pb.upf
CELL_PARAMETERS angstrom
-4.166 4.166 4.419
4.166 -4.166 4.419
4.166 4.166 -4.419
ATOMIC_POSITIONS crystal
Sr 0.250 0.250 0.000
Sr 0.750 0.750 0.000
Pd 0.020 0.520 0.210
Pd 0.190 0.980 0.500
Pd 0.310 0.810 0.790
Pd 0.480 0.690 0.500
Pd 0.520 0.310 0.500
Pd 0.690 0.190 0.210
Pd 0.810 0.020 0.500
Pd 0.980 0.480 0.790
Pb 0.154 0.346 0.500
Pb 0.346 0.846 0.193
Pb 0.654 0.154 0.807
Pb 0.846 0.654 0.500
```

ΔE_f ... -0.449 eV/atom
Space group ... No. 140



[7]
A plane-wave DFT calculation with PBE was carried out for Sr2Pd3Pb5 after structural relaxation. Values from VASP.

```
&SYSTEM
  ibrav = 0, nat = 20, ntyp = 3
/
ATOMIC_SPECIES
Sr 87.62 Sr.upf
Pd 106.42 Pd.upf
Pb 207.20 Pb.upf
CELL_PARAMETERS angstrom
2.388 -14.049 0.000
2.388 14.049 0.000
0.000 0.000 7.752
ATOMIC_POSITIONS crystal
Sr 0.023 0.977 0.500
Sr 0.327 0.673 0.458
Sr 0.673 0.327 0.958
Sr 0.977 0.023 0.000
Pd 0.107 0.893 0.758
Pd 0.276 0.724 0.949
Pd 0.452 0.548 0.710
Pd 0.548 0.452 0.210
Pd 0.724 0.276 0.449
Pd 0.893 0.107 0.258
Pb 0.096 0.904 0.127
Pb 0.204 0.796 0.659
Pb 0.209 0.791 0.245
Pb 0.378 0.622 0.987
Pb 0.449 0.551 0.327
Pb 0.551 0.449 0.827
Pb 0.622 0.378 0.487
Pb 0.791 0.209 0.745
Pb 0.796 0.204 0.159
Pb 0.904 0.096 0.627
```

ΔE_f ... -0.464 eV/atom
Space group ... No. 36



[8]
A plane-wave DFT calculation with PBE was carried out for SrPdPb4 after structural relaxation. Values from VASP.

```
&SYSTEM
  ibrav = 0, nat = 12, ntyp = 3
/
ATOMIC_SPECIES
Sr 87.62 Sr.upf
Pd 106.42 Pd.upf
Pb 207.20 Pb.upf
CELL_PARAMETERS angstrom
2.390 -9.521 0.000
2.390 9.521 0.000
0.000 0.000 7.705
ATOMIC_POSITIONS crystal
Sr 0.125 0.875 0.750
Sr 0.875 0.125 0.250
Pd 0.220 0.780 0.250
Pd 0.780 0.220 0.750
Pb 0.071 0.929 0.250
Pb 0.314 0.686 0.541
Pb 0.314 0.686 0.959
Pb 0.500 0.500 0.000
Pb 0.500 0.500 0.500
Pb 0.686 0.314 0.041
Pb 0.686 0.314 0.459
Pb 0.929 0.071 0.750
```

ΔE_f ... -0.322 eV/atom
Space group ... No. 63



| no. | energy (eV per cell) |
| --- | --- |
| 1 | -93.75 |
| 2 | -30.38 |
| 3 | -54.10 |
| 4 | -135.88 |
| 5 | -18.57 |
| 6 | -66.02 |
| 7 | -84.25 |
| 8 | -47.28 |